# Cs3HoGa2O6

Cs3HoGa2O6 after structural relaxation (PBE, Alexandria).

Calculated values
For the uncorrected formation energy, the calculation gives -1.987 eV/atom. The space-group type is P-3m1, No. 164. Its volume is 21.858 Å³/atom. The total magnetization comes out at 0.00 μB per cell. The calculation puts the total energy at -5.565 eV/atom.

abc: 6.2429 6.2429 7.7712
angles: 90.00 90.00 120.00
Closest atoms and distances in Å follow each position.
Fractional coordinates of all 12 atoms:
Cs  0.0000  0.0000  0.0000  6 O 3.07
Cs  0.3333  0.6667  0.7613  6 O 3.18, 1 Ga 3.40
Cs  0.6667  0.3333  0.2387  6 O 3.18, 1 Ga 3.40
Ho  0.0000  0.0000  0.5000  6 O 2.29
Ga  0.3333  0.6667  0.3240  3 O 1.79
Ga  0.6667  0.3333  0.6760  3 O 1.79
O  0.1675  0.3350  0.3188  1 Ga 1.79
O  0.1675  0.8325  0.3188  1 Ga 1.79
O  0.3350  0.1675  0.6812  1 Ga 1.79
O  0.6650  0.8325  0.3188  1 Ga 1.79
O  0.8325  0.1675  0.6812  1 Ga 1.79
O  0.8325  0.6650  0.6812  1 Ga 1.79